# Zr3Tl

An optimized crystal structure of Zr3Tl (GGA-PBE, the Alexandria database).

abc: 3.1936 5.2510 5.5051
angles: 90.00 90.00 90.00
Atoms (fractional coordinates):
1 Zr 0.0000 0.0000 0.0000
2 Zr 0.0000 0.5000 0.3553
3 Zr 0.5000 0.0000 0.4975
4 Tl 0.5000 0.5000 0.8464

Summary:
Formation energy from the elements, eV per atom: -0.0182
VASP energy, eV for the cell shown: -28.08

# ZrTl3

An optimized crystal structure of ZrTl3 (GGA-PBE, the Alexandria database).

abc: 6.2380 6.2380 6.2380
angles: 148.54 63.97 125.87
Atoms (fractional coordinates):
1 Zr 0.0000 0.0000 0.0000
2 Tl 0.0512 0.3109 0.7403
3 Tl 0.4686 0.9686 0.5000
4 Tl 0.5706 0.3109 0.2597

Summary:
Formation energy from the elements, eV per atom: 0.0588
VASP energy, eV for the cell shown: -15.41

# ZrTl

An optimized crystal structure of ZrTl (GGA-PBE, the Alexandria database).

abc: 3.2614 3.2614 10.3585
angles: 90.00 90.00 120.00
Atoms (fractional coordinates):
1 Zr 0.0000 0.0000 0.0000
2 Zr 0.0000 0.0000 0.5000
3 Tl 0.3333 0.6667 0.2500
4 Tl 0.6667 0.3333 0.7500

Summary:
Formation energy from the elements, eV per atom: 0.0078
VASP energy, eV for the cell shown: -21.80

# Zr3Tl

An optimized crystal structure of Zr3Tl (GGA-PBE, the Alexandria database).

abc: 5.0382 5.0382 5.0382
angles: 60.00 60.00 60.00
Atoms (fractional coordinates):
1 Zr 0.0000 0.0000 0.0000
2 Zr 0.2500 0.2500 0.2500
3 Zr 0.7500 0.7500 0.7500
4 Tl 0.5000 0.5000 0.5000

Summary:
Formation energy from the elements, eV per atom: 0.0471
VASP energy, eV for the cell shown: -27.82

# Zr4Tl

An optimized crystal structure of Zr4Tl (GGA-PBE, the Alexandria database).

abc: 5.9788 5.9788 6.7804
angles: 90.00 90.00 90.00
Atoms (fractional coordinates):
1 Zr 0.1056 0.2626 0.3565
2 Zr 0.2374 0.3944 0.8565
3 Zr 0.2626 0.8944 0.6435
4 Zr 0.3944 0.7626 0.1435
5 Zr 0.6056 0.2374 0.1435
6 Zr 0.7374 0.1056 0.6435
7 Zr 0.7626 0.6056 0.8565
8 Zr 0.8944 0.7374 0.3565
9 Tl 0.0000 0.0000 0.0000
10 Tl 0.5000 0.5000 0.5000

Summary:
Formation energy from the elements, eV per atom: 0.1612
Energy above the most stable polymorph in this dataset, meV per atom: 217
VASP energy, eV for the cell shown: -71.51

# Zr4Tl3

An optimized crystal structure of Zr4Tl3 (GGA-PBE, the Alexandria database).

abc: 11.5900 11.5900 11.5900
angles: 160.97 160.97 27.04
Atoms (fractional coordinates):
1 Zr 0.0720 0.0720 0.0000
2 Zr 0.3577 0.3577 0.0000
3 Zr 0.6423 0.6423 0.0000
4 Zr 0.9280 0.9280 0.0000
5 Tl 0.2135 0.2135 0.0000
6 Tl 0.5000 0.5000 0.0000
7 Tl 0.7865 0.7865 0.0000

Summary:
Formation energy from the elements, eV per atom: 0.0498
Energy above the most stable polymorph in this dataset, meV per atom: 125
VASP energy, eV for the cell shown: -40.94

# Zr3Tl

An optimized crystal structure of Zr3Tl (GGA-PBE, the Alexandria database).

abc: 5.2484 6.1433 5.6961
angles: 90.00 90.00 90.00
Atoms (fractional coordinates):
1 Zr 0.2500 0.0007 0.1476
2 Zr 0.2500 0.2500 0.6492
3 Zr 0.2500 0.4993 0.1476
4 Zr 0.7500 0.5007 0.8524
5 Zr 0.7500 0.7500 0.3508
6 Zr 0.7500 0.9993 0.8524
7 Tl 0.2500 0.7500 0.6581
8 Tl 0.7500 0.2500 0.3419

Summary:
Formation energy from the elements, eV per atom: -0.0698
VASP energy, eV for the cell shown: -56.58

# Zr5Tl4

An optimized crystal structure of Zr5Tl4 (GGA-PBE, the Alexandria database).

abc: 7.2648 7.2648 7.2648
angles: 95.42 95.42 144.19
Atoms (fractional coordinates):
1 Zr 0.0000 0.0000 0.0000
2 Zr 0.3293 0.3293 0.6585
3 Zr 0.3293 0.6707 0.0000
4 Zr 0.6707 0.3293 0.0000
5 Zr 0.6707 0.6707 0.3415
6 Tl 0.0000 0.3157 0.3157
7 Tl 0.0000 0.6842 0.6842
8 Tl 0.3157 0.0000 0.3157
9 Tl 0.6842 0.0000 0.6842

Summary:
Formation energy from the elements, eV per atom: 0.0599
Energy above the most stable polymorph in this dataset, meV per atom: 134
VASP energy, eV for the cell shown: -51.67

# ZrTl

An optimized crystal structure of ZrTl (GGA-PBE, the Alexandria database).

abc: 5.2150 5.2150 5.2150
angles: 60.00 60.00 60.00
Atoms (fractional coordinates):
1 Zr 0.1250 0.1250 0.1250
2 Zr 0.8750 0.8750 0.8750
3 Tl 0.3750 0.3750 0.3750
4 Tl 0.6250 0.6250 0.6250

Summary:
Formation energy from the elements, eV per atom: 0.4392
VASP energy, eV for the cell shown: -20.07

# ZrTl5

An optimized crystal structure of ZrTl5 (GGA-PBE, the Alexandria database).

abc: 8.9683 8.9683 3.4694
angles: 90.00 90.00 143.36
Atoms (fractional coordinates):
1 Zr 0.0000 0.0000 0.0000
2 Tl 0.1520 0.8480 0.5000
3 Tl 0.3244 0.6756 0.0000
4 Tl 0.5000 0.5000 0.5000
5 Tl 0.6756 0.3244 0.0000
6 Tl 0.8480 0.1520 0.5000

Summary:
Formation energy from the elements, eV per atom: 0.1189
Energy above the most stable polymorph in this dataset, meV per atom: 57
VASP energy, eV for the cell shown: -19.67

# ZrTl5

An optimized crystal structure of ZrTl5 (GGA-PBE, the Alexandria database).

abc: 5.2365 9.3978 9.3978
angles: 21.29 90.00 90.00
Atoms (fractional coordinates):
1 Zr 0.0000 0.0000 0.0000
2 Tl 0.0000 0.3517 0.3517
3 Tl 0.0000 0.6602 0.6602
4 Tl 0.5000 0.1153 0.1153
5 Tl 0.5000 0.4682 0.4682
6 Tl 0.5000 0.7848 0.7848

Summary:
Formation energy from the elements, eV per atom: 0.1218
Energy above the most stable polymorph in this dataset, meV per atom: 60
VASP energy, eV for the cell shown: -19.65

# ZrTl3

An optimized crystal structure of ZrTl3 (GGA-PBE, the Alexandria database).

abc: 5.5727 6.1966 5.9098
angles: 90.00 90.00 90.00
Atoms (fractional coordinates):
1 Zr 0.2500 0.2500 0.1287
2 Zr 0.7500 0.7500 0.8713
3 Tl 0.2500 0.0049 0.6333
4 Tl 0.2500 0.4951 0.6333
5 Tl 0.2500 0.7500 0.1220
6 Tl 0.7500 0.2500 0.8780
7 Tl 0.7500 0.5049 0.3667
8 Tl 0.7500 0.9951 0.3667

Summary:
Formation energy from the elements, eV per atom: 0.1796
VASP energy, eV for the cell shown: -29.86

# ZrTl

An optimized crystal structure of ZrTl (GGA-PBE, the Alexandria database).

abc: 4.2929 4.2929 6.5327
angles: 90.00 90.00 120.00
Atoms (fractional coordinates):
1 Zr 0.3333 0.6667 0.2500
2 Zr 0.6667 0.3333 0.7500
3 Tl 0.0000 0.0000 0.0000
4 Tl 0.0000 0.0000 0.5000

Summary:
Formation energy from the elements, eV per atom: 0.2764
VASP energy, eV for the cell shown: -20.72

# Zr4Tl5

An optimized crystal structure of Zr4Tl5 (GGA-PBE, the Alexandria database).

abc: 9.0087 9.0087 6.0684
angles: 90.00 90.00 120.00
Atoms (fractional coordinates):
1 Zr 0.0000 0.0000 0.0000
2 Zr 0.0000 0.0000 0.5000
3 Zr 0.0000 0.3740 0.2500
4 Zr 0.0000 0.6260 0.7500
5 Zr 0.3740 0.0000 0.2500
6 Zr 0.3740 0.3740 0.7500
7 Zr 0.6260 0.0000 0.7500
8 Zr 0.6260 0.6260 0.2500
9 Tl 0.0000 0.2905 0.7500
10 Tl 0.0000 0.7095 0.2500
11 Tl 0.2905 0.0000 0.7500
12 Tl 0.2905 0.2905 0.2500
13 Tl 0.3333 0.6667 0.0000
14 Tl 0.3333 0.6667 0.5000
15 Tl 0.6667 0.3333 0.0000
16 Tl 0.6667 0.3333 0.5000
17 Tl 0.7095 0.0000 0.2500
18 Tl 0.7095 0.7095 0.7500

Summary:
Formation energy from the elements, eV per atom: 0.0377
Energy above the most stable polymorph in this dataset, meV per atom: 50
VASP energy, eV for the cell shown: -91.37

# ZrTl

An optimized crystal structure of ZrTl (GGA-PBE, the Alexandria database).

abc: 6.0906 6.0906 6.0906
angles: 130.80 81.35 119.80
Atoms (fractional coordinates):
1 Zr 0.0000 0.0000 0.0000
2 Zr 0.5948 0.2599 0.3349
3 Zr 0.9250 0.2599 0.6651
4 Tl 0.0728 0.7438 0.3290
5 Tl 0.4147 0.7438 0.6710
6 Tl 0.5048 0.5048 0.0000

Summary:
Formation energy from the elements, eV per atom: 0.0427
VASP energy, eV for the cell shown: -32.49

# ZrTl

An optimized crystal structure of ZrTl (GGA-PBE, the Alexandria database).

abc: 5.4551 5.4551 5.4551
angles: 34.95 34.95 34.95
Atoms (fractional coordinates):
1 Zr 0.0000 0.0000 0.0000
2 Tl 0.5000 0.5000 0.5000

Summary:
Formation energy from the elements, eV per atom: 0.0071
VASP energy, eV for the cell shown: -10.90

# ZrTl

An optimized crystal structure of ZrTl (GGA-PBE, the Alexandria database).

abc: 3.2126 3.2126 9.6925
angles: 90.00 90.00 90.00
Atoms (fractional coordinates):
1 Zr 0.2500 0.2500 0.1115
2 Zr 0.7500 0.7500 0.8885
3 Tl 0.2500 0.2500 0.6353
4 Tl 0.7500 0.7500 0.3647

Summary:
Formation energy from the elements, eV per atom: 0.0541
VASP energy, eV for the cell shown: -21.61

# ZrTl3

An optimized crystal structure of ZrTl3 (GGA-PBE, the Alexandria database).

abc: 5.9323 5.9323 5.9323
angles: 90.00 90.00 90.00
Atoms (fractional coordinates):
1 Zr 0.0000 0.0000 0.0000
2 Zr 0.5000 0.5000 0.5000
3 Tl 0.0000 0.2500 0.5000
4 Tl 0.0000 0.7500 0.5000
5 Tl 0.2500 0.5000 0.0000
6 Tl 0.5000 0.0000 0.2500
7 Tl 0.5000 0.0000 0.7500
8 Tl 0.7500 0.5000 0.0000

Summary:
Formation energy from the elements, eV per atom: 0.3043
VASP energy, eV for the cell shown: -28.86

# ZrTl3

An optimized crystal structure of ZrTl3 (GGA-PBE, the Alexandria database).

abc: 6.4131 6.4131 5.8156
angles: 90.00 90.00 119.73
Atoms (fractional coordinates):
1 Zr 0.0793 0.9207 0.7500
2 Zr 0.9207 0.0793 0.2500
3 Tl 0.0858 0.4132 0.7500
4 Tl 0.4112 0.5888 0.2500
5 Tl 0.4132 0.0858 0.2500
6 Tl 0.5868 0.9142 0.7500
7 Tl 0.5888 0.4112 0.7500
8 Tl 0.9142 0.5868 0.2500

Summary:
Formation energy from the elements, eV per atom: 0.1196
VASP energy, eV for the cell shown: -30.34

# Zr3Tl

An optimized crystal structure of Zr3Tl (GGA-PBE, the Alexandria database).

abc: 5.8891 5.8891 5.8891
angles: 116.88 116.88 116.88
Atoms (fractional coordinates):
1 Zr 0.0000 0.5000 0.5000
2 Zr 0.5000 0.0000 0.5000
3 Zr 0.5000 0.5000 0.0000
4 Tl 0.0000 0.0000 0.0000

Summary:
Formation energy from the elements, eV per atom: 0.0219
VASP energy, eV for the cell shown: -27.92

# Zr5Tl

An optimized crystal structure of Zr5Tl (GGA-PBE, the Alexandria database).

abc: 6.0928 6.0928 7.7058
angles: 104.87 104.87 30.40
Atoms (fractional coordinates):
1 Zr 0.0000 0.0000 0.0000
2 Zr 0.0407 0.0407 0.6238
3 Zr 0.3166 0.3166 0.6600
4 Zr 0.3816 0.3816 0.2853
5 Zr 0.6502 0.6502 0.3384
6 Tl 0.7238 0.7238 0.9573

Summary:
Formation energy from the elements, eV per atom: -0.0147
Energy above the most stable polymorph in this dataset, meV per atom: 38
VASP energy, eV for the cell shown: -45.20

# ZrTl

An optimized crystal structure of ZrTl (GGA-PBE, the Alexandria database).

abc: 10.0250 9.2258 6.0777
angles: 90.00 90.00 90.00
Atoms (fractional coordinates):
1 Zr 0.1036 0.2500 0.0000
2 Zr 0.1036 0.2500 0.5000
3 Zr 0.1698 0.6411 0.2500
4 Zr 0.1698 0.8589 0.7500
5 Zr 0.3886 0.0356 0.2500
6 Zr 0.3886 0.4644 0.7500
7 Zr 0.6114 0.5356 0.2500
8 Zr 0.6114 0.9644 0.7500
9 Zr 0.8302 0.1411 0.2500
10 Zr 0.8302 0.3589 0.7500
11 Zr 0.8964 0.7500 0.0000
12 Zr 0.8964 0.7500 0.5000
13 Tl 0.0924 0.5434 0.7500
14 Tl 0.0924 0.9566 0.2500
15 Tl 0.3374 0.1228 0.7500
16 Tl 0.3374 0.3772 0.2500
17 Tl 0.4119 0.7500 0.0000
18 Tl 0.4119 0.7500 0.5000
19 Tl 0.5881 0.2500 0.0000
20 Tl 0.5881 0.2500 0.5000
21 Tl 0.6626 0.6228 0.7500
22 Tl 0.6626 0.8772 0.2500
23 Tl 0.9076 0.0434 0.7500
24 Tl 0.9076 0.4566 0.2500

Summary:
Formation energy from the elements, eV per atom: -0.0624
VASP energy, eV for the cell shown: -132.47

# ZrTl

An optimized crystal structure of ZrTl (GGA-PBE, the Alexandria database).

abc: 4.6321 4.6321 4.6321
angles: 60.00 60.00 60.00
Atoms (fractional coordinates):
1 Zr 0.0000 0.0000 0.0000
2 Tl 0.7500 0.7500 0.7500

Summary:
Formation energy from the elements, eV per atom: 1.1610
VASP energy, eV for the cell shown: -8.59

# ZrTl5

An optimized crystal structure of ZrTl5 (GGA-PBE, the Alexandria database).

abc: 6.1958 6.1958 5.0418
angles: 90.00 90.00 120.00
Atoms (fractional coordinates):
1 Zr 0.0000 0.0000 0.0000
2 Tl 0.0000 0.6893 0.5000
3 Tl 0.3107 0.3107 0.5000
4 Tl 0.3333 0.6667 0.0000
5 Tl 0.6667 0.3333 0.0000
6 Tl 0.6893 0.0000 0.5000

Summary:
Formation energy from the elements, eV per atom: 0.2254
Energy above the most stable polymorph in this dataset, meV per atom: 163
VASP energy, eV for the cell shown: -19.03

# ZrTl

An optimized crystal structure of ZrTl (GGA-PBE, the Alexandria database).

abc: 4.9689 4.9689 9.7083
angles: 90.00 90.00 120.00
Atoms (fractional coordinates):
1 Zr 0.0000 0.0000 0.2500
2 Zr 0.0000 0.0000 0.7500
3 Zr 0.3333 0.6667 0.2500
4 Zr 0.6667 0.3333 0.7500
5 Tl 0.3333 0.6667 0.5876
6 Tl 0.3333 0.6667 0.9124
7 Tl 0.6667 0.3333 0.0876
8 Tl 0.6667 0.3333 0.4124

Summary:
Formation energy from the elements, eV per atom: 0.4963
VASP energy, eV for the cell shown: -39.69

# Zr5Tl

An optimized crystal structure of Zr5Tl (GGA-PBE, the Alexandria database).

abc: 3.1828 3.1828 13.8361
angles: 90.00 90.00 90.00
Atoms (fractional coordinates):
1 Zr 0.0000 0.0000 0.0000
2 Zr 0.0000 0.0000 0.3279
3 Zr 0.0000 0.0000 0.6721
4 Zr 0.5000 0.5000 0.1634
5 Zr 0.5000 0.5000 0.8366
6 Tl 0.5000 0.5000 0.5000

Summary:
Formation energy from the elements, eV per atom: -0.0031
Energy above the most stable polymorph in this dataset, meV per atom: 49
VASP energy, eV for the cell shown: -45.13